Compound: RbCoB
Source: the Open Quantum Materials Database
Functional: PBE-GGA
Structure: optimized geometry

volume = 22.8 Å³/atom
energy = -8.68 eV for the cell shown
space-group type = No. 216

Cell lengths 4.587, 4.587, 4.587 Å; angles 60.00, 60.00, 60.00 degrees
Site moments in Bohr magnetons follow the coordinates.
Element x y z (fractional)
Co 0.750 0.750 0.750  1.79
Rb 0.250 0.250 0.250  -0.05
B 0.000 0.000 0.000  -0.33